The following is a DFT calculation (GGA-PBE) of a geometry-optimized Y2Os3 structure.

Output
The space group is Fdd2. Its energy relative to the lowest polymorph listed for this composition is 14 meV/atom. The volume comes out at 20.88 Å³/atom. For the energy relative to the elements, the calculation gives -0.15 eV/atom.

a b c (Å): 8.361 5.509 9.204
angles (deg): 63.56 36.15 80.28
Fractional coordinates of all 10 atoms:
Y (0.122, 0.878, 0.286)
Y (0.536, 0.964, 0.372)
Y (0.878, 0.122, 0.714)
Y (0.964, 0.536, 0.128)
Os (0.256, 0.256, 0.744)
Os (0.442, 0.527, 0.305)
Os (0.506, 0.506, 0.994)
Os (0.523, 0.945, 0.723)
Os (0.527, 0.442, 0.727)
Os (0.945, 0.523, 0.808)